The following is a PBE calculation of a relaxed structure of GeRhS3, from the Alexandria database.

Computed properties:
- formation energy without anion corrections (eV per atom) = -0.361

Cell lengths 6.143, 3.550, 9.068 Å; angles 90.00, 92.47, 90.00 degrees
Space group P2_1/m (No. 11)
Inequivalent atoms, fractional coordinates:
1 Ge 0.092 0.250 0.191 x2
2 Rh 0.414 0.250 0.834 x2
3 S 0.082 0.250 0.686 x2
4 S 0.282 0.750 0.987 x2
5 S 0.439 0.250 0.305 x2

The following is a PBE calculation of a relaxed structure of MnTcAs2Br, from the Alexandria database.

Computed properties:
- formation energy without anion corrections (eV per atom) = 0.917
- energy above the lowest structure with this stoichiometry (eV/atom) = 0.325

Cell lengths 4.693, 4.693, 5.043 Å; angles 90.00, 90.00, 90.00 degrees
Space group P4/mmm (No. 123)
Inequivalent atoms, fractional coordinates:
1 Mn 0.000 0.000 0.000 x1
2 Tc 0.500 0.500 0.500 x1
3 As 0.000 0.500 0.000 x2
4 Br 0.000 0.000 0.500 x1

The following is a PBE calculation of a relaxed structure of La4GeAuBr2, from the Alexandria database.

Computed properties:
- formation energy without anion corrections (eV per atom) = -1.126

Cell lengths 7.549, 4.364, 7.852 Å; angles 90.00, 108.90, 90.00 degrees
Space group P2/m (No. 10)
Inequivalent atoms, fractional coordinates:
1 La 0.228 0.000 0.245 x2
2 La 0.231 0.500 0.737 x2
3 Ge 0.000 0.000 0.500 x1
4 Au 0.000 0.500 0.000 x1
5 Br 0.500 0.000 0.000 x1
6 Br 0.500 0.500 0.500 x1

The following is a PBE calculation of a relaxed structure of NiHgIr2, from the Alexandria database.

Computed properties:
- VASP energy (eV for the cell shown) = -21.9

Cell lengths 3.885, 3.885, 4.036 Å; angles 90.00, 90.00, 90.00 degrees
Space group P4/mmm (No. 123)
Inequivalent atoms, fractional coordinates:
1 Ni 0.000 0.000 0.000 x1
2 Hg 0.500 0.500 0.000 x1
3 Ir 0.000 0.500 0.500 x2

The following is a PBE calculation of a relaxed structure of FeH2PdRu, from the Alexandria database.

Computed properties:
- VASP energy (eV for the cell shown) = -24.9

Cell lengths 3.551, 3.551, 4.914 Å; angles 90.00, 90.00, 90.00 degrees
Space group P4/mmm (No. 123)
Inequivalent atoms, fractional coordinates:
1 Fe 0.000 0.000 0.000 x1
2 H 0.000 0.500 0.000 x2
3 Pd 0.000 0.000 0.500 x1
4 Ru 0.500 0.500 0.500 x1

The following is a PBE calculation of a relaxed structure of LaIr2, from the Alexandria database.

Computed properties:
- VASP energy (eV for the cell shown) = -23.1

Cell lengths 3.783, 3.783, 4.725 Å; angles 90.00, 90.00, 90.00 degrees
Space group P4/mmm (No. 123)
Inequivalent atoms, fractional coordinates:
1 La 0.000 0.000 0.000 x1
2 Ir 0.000 0.500 0.500 x2

The following is a PBE calculation of a relaxed structure of La6TlSn3, from the Alexandria database.

Computed properties:
- VASP energy (eV for the cell shown) = -97.0

Cell lengths 7.975, 8.904, 12.612 Å; angles 90.00, 126.86, 90.00 degrees
Space group P2_1/c (No. 14)
Inequivalent atoms, fractional coordinates:
1 La 0.029 0.106 0.251 x4
2 La 0.221 0.682 0.064 x4
3 La 0.402 0.171 0.065 x4
4 Tl 0.500 0.000 0.500 x2
5 Sn 0.000 0.000 0.000 x2
6 Sn 0.301 0.118 0.750 x4

The following is a PBE calculation of a relaxed structure of CdAg2S, from the Alexandria database.

Computed properties:
- formation energy without anion corrections (eV per atom) = 0.097

Cell lengths 5.572, 5.572, 14.123 Å; angles 90.00, 90.00, 90.00 degrees
Space group I-42d (No. 122)
Inequivalent atoms, fractional coordinates:
1 Cd 0.000 0.000 0.000 x4
2 Ag 0.159 0.250 0.625 x8
3 S 0.000 0.000 0.500 x4

Looking at V for the records above, in order, we have 19.76, 22.22, 30.59, 15.23, 12.39, 22.54, 35.83, 27.40 Å³/atom.
Looking at magnetization for the records above, in order, we have 0.00, 6.45, 0.00, 0.00, 5.36, 0.00, 0.02, 0.00 Bohr magnetons per cell.
Looking at theoretical density for the records above, in order, we have 4.57, 5.72, 6.68, 17.55, 7.11, 12.85, 6.46, 5.46 g cm⁻³.